Record 1
## LaVB3 (PBE)

Data for LaVB3 after structural relaxation.

Calculated values
* space-group type: Pm-3m, No. 221
* crystal system: cubic
* total energy: -33.39 eV for the cell shown
* magnetic moment: 0.00 μB per cell
* excess energy over the best structure of this formula in the dataset: 0.00 kcal/mol of atoms

```
LaVB3
1.0
4.1408 0.0000 0.0000
0.0000 4.1408 0.0000
0.0000 0.0000 4.1408
La V B
1 1 3
Cartesian
0.0000 0.0000 0.0000 La
2.0704 2.0704 2.0704 V
0.0000 2.0704 2.0704 B
2.0704 0.0000 2.0704 B
2.0704 2.0704 0.0000 B
```

=====

Record 2
## La3VB (PBE)

Data for La3VB after structural relaxation.

Calculated values
* space-group type: Pm-3m, No. 221
* crystal system: cubic
* total energy: -28.18 eV for the cell shown
* magnetic moment: 4.35 μB per cell
* excess energy over the best structure of this formula in the dataset: 0.00 kcal/mol of atoms

```
La3VB
1.0
5.3218 0.0000 0.0000
0.0000 5.3218 0.0000
0.0000 0.0000 5.3218
La V B
3 1 1
Cartesian
0.0000 0.0000 2.6609 La
0.0000 2.6609 0.0000 La
2.6609 0.0000 0.0000 La
2.6609 2.6609 2.6609 V
0.0000 0.0000 0.0000 B
```

=====

Record 3
## LaVB2 (PBE)

Data for LaVB2 after structural relaxation.

Calculated values
* space-group type: Fm-3m, No. 225
* crystal system: cubic
* total energy: -98.53 eV for the cell shown
* magnetic moment: 10.27 μB per cell
* excess energy over the best structure of this formula in the dataset: 8.63 kcal/mol of atoms

```
LaVB2
1.0
6.2454 0.0000 0.0000
0.0000 6.2454 0.0000
0.0000 0.0000 6.2454
La V B
4 4 8
Cartesian
0.0000 0.0000 0.0000 La
0.0000 3.1227 3.1227 La
3.1227 0.0000 3.1227 La
3.1227 3.1227 0.0000 La
0.0000 0.0000 3.1227 V
0.0000 3.1227 0.0000 V
3.1227 0.0000 0.0000 V
3.1227 3.1227 3.1227 V
1.5614 1.5614 1.5614 B
1.5614 1.5614 4.6841 B
1.5614 4.6841 1.5614 B
1.5614 4.6841 4.6841 B
4.6841 1.5614 1.5614 B
4.6841 1.5614 4.6841 B
4.6841 4.6841 1.5614 B
4.6841 4.6841 4.6841 B
```

=====

Record 4
## LaVB2 (PBE)

Data for LaVB2 after structural relaxation.

Calculated values
* space-group type: I4_1/amd, No. 141
* crystal system: tetragonal
* total energy: -104.52 eV for the cell shown
* magnetic moment: 0.00 μB per cell
* excess energy over the best structure of this formula in the dataset: 0.00 kcal/mol of atoms

```
LaVB2
1.0
4.1904 0.0000 0.0000
0.0000 4.1904 0.0000
0.0000 0.0000 14.6153
La V B
4 4 8
Cartesian
0.0000 1.0476 5.4807 La
0.0000 3.1428 9.1346 La
2.0952 1.0476 1.8269 La
2.0952 3.1428 12.7884 La
0.0000 1.0476 12.7884 V
0.0000 3.1428 1.8269 V
2.0952 1.0476 9.1346 V
2.0952 3.1428 5.4807 V
0.0000 0.0000 0.0000 B
0.0000 2.0952 0.0000 B
1.0476 1.0476 10.9615 B
1.0476 3.1428 3.6538 B
2.0952 0.0000 7.3077 B
2.0952 2.0952 7.3077 B
3.1428 1.0476 10.9615 B
3.1428 3.1428 3.6538 B
```

=====

Record 5
## La2BW (PBE)

Data for La2BW after structural relaxation.

Calculated values
* space-group type: I-42d, No. 122
* crystal system: tetragonal
* total energy: -110.71 eV for the cell shown
* magnetic moment: 0.00 μB per cell

```
La2BW
1.0
10.1876 0.0000 0.0000
0.0000 10.1876 0.0000
0.0000 0.0000 4.2104
La B W
8 4 4
Cartesian
0.7849 2.5469 0.5263 La
2.5469 5.8787 1.5789 La
2.5469 9.4027 3.6841 La
4.3089 2.5469 2.6315 La
5.8787 7.6407 2.6315 La
7.6407 0.7849 3.6841 La
7.6407 4.3089 1.5789 La
9.4027 7.6407 0.5263 La
0.0000 0.0000 0.0000 B
0.0000 5.0938 1.0526 B
5.0938 0.0000 3.1578 B
5.0938 5.0938 2.1052 B
0.0000 0.0000 2.1052 W
0.0000 5.0938 3.1578 W
5.0938 0.0000 1.0526 W
5.0938 5.0938 0.0000 W
```

=====

Record 6
## LaB2W2 (PBE)

Data for LaB2W2 after structural relaxation.

Calculated values
* space-group type: I4/mmm, No. 139
* crystal system: tetragonal
* total energy: -86.73 eV for the cell shown
* magnetic moment: 0.00 μB per cell
* excess energy over the best structure of this formula in the dataset: 0.00 kcal/mol of atoms

```
LaB2W2
1.0
4.2560 0.0000 0.0000
0.0000 4.2560 0.0000
0.0000 0.0000 8.6805
La B W
2 4 4
Cartesian
0.0000 0.0000 0.0000 La
2.1280 2.1280 4.3403 La
0.0000 2.1280 2.1701 B
0.0000 2.1280 6.5104 B
2.1280 0.0000 2.1701 B
2.1280 0.0000 6.5104 B
0.0000 0.0000 2.9279 W
0.0000 0.0000 5.7526 W
2.1280 2.1280 1.4124 W
2.1280 2.1280 7.2682 W
```

=====

Copy entry 3 word for word.
## LaVB2 (PBE)

Data for LaVB2 after structural relaxation.

Calculated values
* space-group type: Fm-3m, No. 225
* crystal system: cubic
* total energy: -98.53 eV for the cell shown
* magnetic moment: 10.27 μB per cell
* excess energy over the best structure of this formula in the dataset: 8.63 kcal/mol of atoms

```
LaVB2
1.0
6.2454 0.0000 0.0000
0.0000 6.2454 0.0000
0.0000 0.0000 6.2454
La V B
4 4 8
Cartesian
0.0000 0.0000 0.0000 La
0.0000 3.1227 3.1227 La
3.1227 0.0000 3.1227 La
3.1227 3.1227 0.0000 La
0.0000 0.0000 3.1227 V
0.0000 3.1227 0.0000 V
3.1227 0.0000 0.0000 V
3.1227 3.1227 3.1227 V
1.5614 1.5614 1.5614 B
1.5614 1.5614 4.6841 B
1.5614 4.6841 1.5614 B
1.5614 4.6841 4.6841 B
4.6841 1.5614 1.5614 B
4.6841 1.5614 4.6841 B
4.6841 4.6841 1.5614 B
4.6841 4.6841 4.6841 B
```